LiDyCl6 | PBE | relaxed

```
LiDyCl6
1.0
-5.807 3.992 1.837
-4.910 -2.652 4.679
-0.523 2.796 6.704
Li Dy Cl
1 1 6
direct
0.000 0.000 0.000 Li
0.500 0.500 0.500 Dy
0.755 0.755 0.245 Cl
0.755 0.245 0.245 Cl
0.245 0.755 0.755 Cl
0.245 0.245 0.755 Cl
0.245 0.755 0.245 Cl
0.755 0.245 0.755 Cl
```

Computed properties:
The symmetry is No. 225. For the energy, the calculation gives -3.499 eV per atom. As for the spin magnetization: 0.2519 μB/atom.

=====

Li3DyCl6 | PBE | relaxed

```
Li3DyCl6
1.0
-1.036 2.789 -3.131
-6.846 -3.422 -0.783
0.034 5.750 5.111
Li Dy Cl
3 1 6
direct
0.500 0.500 0.000 Li
0.000 0.000 0.000 Li
0.500 0.000 0.500 Li
0.000 0.500 0.500 Dy
0.000 0.088 0.337 Cl
0.000 0.912 0.663 Cl
0.000 0.337 0.088 Cl
0.000 0.663 0.912 Cl
0.500 0.633 0.367 Cl
0.500 0.367 0.633 Cl
```

Computed properties:
The symmetry is No. 65. For the energy, the calculation gives -4.010 eV per atom. As for the spin magnetization: 0.0000 μB/atom.

=====

LiDyMgCl6 | PBE | relaxed

```
LiDyMgCl6
1.0
6.563 0.000 0.000
-3.282 5.684 0.000
0.000 0.000 11.885
Li Dy Mg Cl
2 2 2 12
direct
0.000 0.000 0.000 Li
0.000 0.000 0.500 Li
0.667 0.333 0.250 Dy
0.333 0.667 0.750 Dy
0.333 0.667 0.250 Mg
0.667 0.333 0.750 Mg
0.649 0.663 0.129 Cl
0.014 0.351 0.129 Cl
0.351 0.014 0.629 Cl
0.986 0.649 0.871 Cl
0.337 0.351 0.371 Cl
0.014 0.663 0.371 Cl
0.663 0.014 0.871 Cl
0.649 0.986 0.371 Cl
0.986 0.337 0.629 Cl
0.337 0.986 0.129 Cl
0.663 0.649 0.629 Cl
0.351 0.337 0.871 Cl
```

Computed properties:
The symmetry is No. 163. For the energy, the calculation gives -4.139 eV per atom. As for the spin magnetization: 0.0000 μB/atom.

=====

LiDyMnCl6 | PBE | relaxed

```
LiDyMnCl6
1.0
-3.135 -5.213 -1.868
3.322 -0.059 5.427
-9.601 3.652 5.916
Li Dy Mn Cl
2 2 2 12
direct
0.000 0.000 0.000 Li
0.000 0.000 0.500 Li
0.667 0.333 0.250 Dy
0.333 0.667 0.750 Dy
0.333 0.667 0.250 Mn
0.667 0.333 0.750 Mn
0.643 0.672 0.130 Cl
0.029 0.357 0.130 Cl
0.357 0.029 0.630 Cl
0.971 0.643 0.870 Cl
0.328 0.357 0.370 Cl
0.029 0.672 0.370 Cl
0.672 0.029 0.870 Cl
0.643 0.971 0.370 Cl
0.971 0.328 0.630 Cl
0.328 0.971 0.130 Cl
0.672 0.643 0.630 Cl
0.357 0.328 0.870 Cl
```

Computed properties:
The symmetry is No. 163. For the energy, the calculation gives -4.489 eV per atom. As for the spin magnetization: 0.1103 μB/atom.

=====

NaLiDy2Cl8 | PBE | relaxed

```
NaLiDy2Cl8
1.0
6.476 0.277 -0.005
0.362 6.456 -0.008
0.006 0.010 8.065
Na Li Dy Cl
1 1 2 8
direct
0.000 0.000 0.500 Na
0.000 0.000 0.000 Li
0.500 0.500 0.754 Dy
0.500 0.500 0.246 Dy
0.198 0.798 0.233 Cl
0.685 0.689 0.000 Cl
0.802 0.202 0.233 Cl
0.802 0.202 0.767 Cl
0.315 0.311 0.000 Cl
0.198 0.798 0.767 Cl
0.681 0.685 0.500 Cl
0.319 0.315 0.500 Cl
```

Computed properties:
The symmetry is No. 10. For the energy, the calculation gives -4.376 eV per atom. As for the spin magnetization: 0.0000 μB/atom.

=====

NaLi2DyCl6 | PBE | relaxed

```
NaLi2DyCl6
1.0
6.694 0.000 0.000
3.347 5.797 0.000
3.347 1.933 6.127
Na Li Dy Cl
1 2 1 6
direct
0.812 0.812 0.563 Na
0.518 0.519 0.444 Li
0.014 0.014 0.959 Li
0.321 0.321 0.038 Dy
0.601 0.242 0.247 Cl
0.242 0.910 0.247 Cl
0.910 0.601 0.247 Cl
0.380 0.734 0.757 Cl
0.734 0.129 0.757 Cl
0.129 0.380 0.757 Cl
```

Computed properties:
The symmetry is No. 146. For the energy, the calculation gives -4.076 eV per atom. As for the spin magnetization: 0.0000 μB/atom.

=====

NaLiDyCl5 | PBE | relaxed

```
NaLiDyCl5
1.0
7.308 -0.348 -0.089
-2.467 6.888 -0.089
-2.103 -2.841 9.090
Na Li Dy Cl
2 2 2 10
direct
0.393 0.607 0.250 Na
0.607 0.393 0.750 Na
0.703 0.297 0.250 Li
0.297 0.703 0.750 Li
0.000 0.000 0.500 Dy
0.000 0.000 0.000 Dy
0.092 0.908 0.250 Cl
0.908 0.092 0.750 Cl
0.972 0.334 0.141 Cl
0.028 0.666 0.859 Cl
0.666 0.028 0.359 Cl
0.334 0.972 0.641 Cl
0.749 0.599 0.438 Cl
0.251 0.401 0.562 Cl
0.401 0.251 0.062 Cl
0.599 0.749 0.938 Cl
```

Computed properties:
The symmetry is No. 15. For the energy, the calculation gives -4.168 eV per atom. As for the spin magnetization: 0.0000 μB/atom.

=====

LiDyPbCl6 | PBE | relaxed

```
LiDyPbCl6
1.0
-4.194 4.832 2.171
-2.476 -5.910 -2.143
0.791 -4.592 11.752
Li Dy Pb Cl
2 2 2 12
direct
0.333 0.667 0.250 Li
0.667 0.333 0.750 Li
0.667 0.333 0.250 Dy
0.333 0.667 0.750 Dy
0.000 0.000 0.000 Pb
0.000 0.000 0.500 Pb
0.642 0.646 0.133 Cl
0.005 0.358 0.133 Cl
0.358 0.005 0.633 Cl
0.995 0.642 0.867 Cl
0.354 0.358 0.367 Cl
0.005 0.646 0.367 Cl
0.646 0.005 0.867 Cl
0.642 0.995 0.367 Cl
0.995 0.354 0.633 Cl
0.354 0.995 0.133 Cl
0.646 0.642 0.633 Cl
0.358 0.354 0.867 Cl
```

Computed properties:
The symmetry is No. 163. For the energy, the calculation gives -4.168 eV per atom. As for the spin magnetization: 0.0000 μB/atom.

=====

LiDyPuCl6 | PBE | relaxed

```
LiDyPuCl6
1.0
-1.064 -4.738 -4.628
-1.937 -1.011 6.343
-11.216 5.075 -2.616
Li Dy Pu Cl
2 2 2 12
direct
0.333 0.667 0.250 Li
0.667 0.333 0.750 Li
0.667 0.333 0.250 Dy
0.333 0.667 0.750 Dy
0.000 0.000 0.000 Pu
0.000 0.000 0.500 Pu
0.647 0.653 0.132 Cl
0.005 0.353 0.132 Cl
0.353 0.005 0.632 Cl
0.995 0.647 0.868 Cl
0.347 0.353 0.368 Cl
0.005 0.653 0.368 Cl
0.653 0.005 0.868 Cl
0.647 0.995 0.368 Cl
0.995 0.347 0.632 Cl
0.347 0.995 0.132 Cl
0.653 0.647 0.632 Cl
0.353 0.347 0.868 Cl
```

Computed properties:
The symmetry is No. 163. For the energy, the calculation gives -5.522 eV per atom. As for the spin magnetization: 0.6667 μB/atom.

=====

Rb2LiDyCl6 | PBE | relaxed

```
Rb2LiDyCl6
1.0
7.403 0.000 0.000
3.702 6.411 0.000
3.702 2.137 6.044
Cl Li Rb Dy
6 1 2 1
direct
0.748 0.748 0.252 Cl
0.252 0.748 0.252 Cl
0.748 0.252 0.252 Cl
0.252 0.252 0.748 Cl
0.748 0.252 0.748 Cl
0.252 0.748 0.748 Cl
0.500 0.500 0.500 Li
0.750 0.750 0.750 Rb
0.250 0.250 0.250 Rb
0.000 0.000 0.000 Dy
```

Computed properties:
The symmetry is No. 225. For the energy, the calculation gives -4.052 eV per atom. As for the spin magnetization: 0.0000 μB/atom.

=====

RbLiDy2Cl8 | PBE | relaxed

```
RbLiDy2Cl8
1.0
6.826 0.386 -0.007
0.496 6.712 -0.009
0.005 0.009 8.328
Rb Li Dy Cl
1 1 2 8
direct
0.000 0.000 0.500 Rb
0.000 0.000 0.000 Li
0.500 0.500 0.760 Dy
0.500 0.500 0.240 Dy
0.195 0.771 0.209 Cl
0.660 0.693 0.000 Cl
0.806 0.229 0.209 Cl
0.805 0.229 0.791 Cl
0.340 0.307 0.000 Cl
0.194 0.771 0.791 Cl
0.646 0.683 0.500 Cl
0.354 0.317 0.500 Cl
```

Computed properties:
The symmetry is No. 10. For the energy, the calculation gives -4.352 eV per atom. As for the spin magnetization: 0.0000 μB/atom.

=====

RbLiDyCl5 | PBE | relaxed

```
RbLiDyCl5
1.0
-6.251 3.877 -1.810
-1.379 -7.277 -1.590
0.175 0.276 10.085
Rb Li Dy Cl
2 2 2 10
direct
0.341 0.659 0.250 Rb
0.659 0.341 0.750 Rb
0.690 0.310 0.250 Li
0.310 0.690 0.750 Li
0.000 0.000 0.500 Dy
0.000 0.000 0.000 Dy
0.071 0.929 0.250 Cl
0.929 0.071 0.750 Cl
0.899 0.298 0.104 Cl
0.101 0.702 0.896 Cl
0.702 0.101 0.396 Cl
0.298 0.899 0.604 Cl
0.762 0.632 0.418 Cl
0.238 0.368 0.582 Cl
0.368 0.238 0.082 Cl
0.632 0.762 0.918 Cl
```

Computed properties:
The symmetry is No. 15. For the energy, the calculation gives -4.202 eV per atom. As for the spin magnetization: 0.0000 μB/atom.

=====

LiDySnCl6 | PBE | relaxed

```
LiDySnCl6
1.0
-1.799 -1.705 -6.254
-4.193 -1.141 5.135
-5.063 11.298 -1.623
Li Dy Sn Cl
2 2 2 12
direct
0.333 0.667 0.250 Li
0.667 0.333 0.750 Li
0.667 0.333 0.250 Dy
0.333 0.667 0.750 Dy
0.000 0.000 0.000 Sn
0.000 0.000 0.500 Sn
0.645 0.650 0.132 Cl
0.005 0.355 0.132 Cl
0.355 0.005 0.632 Cl
0.995 0.645 0.868 Cl
0.350 0.355 0.368 Cl
0.005 0.650 0.368 Cl
0.650 0.005 0.868 Cl
0.645 0.995 0.368 Cl
0.995 0.350 0.632 Cl
0.350 0.995 0.132 Cl
0.650 0.645 0.632 Cl
0.355 0.350 0.868 Cl
```

Computed properties:
The symmetry is No. 163. For the energy, the calculation gives -4.141 eV per atom. As for the spin magnetization: 0.0000 μB/atom.

=====

LiDyTlCl5 | PBE | relaxed

```
LiDyTlCl5
1.0
-2.973 -4.504 5.212
2.585 -4.386 -5.511
8.312 3.505 4.348
Li Dy Tl Cl
2 2 2 10
direct
0.691 0.309 0.250 Li
0.309 0.691 0.750 Li
0.000 0.000 0.500 Dy
0.000 0.000 0.000 Dy
0.350 0.650 0.250 Tl
0.650 0.350 0.750 Tl
0.077 0.923 0.250 Cl
0.923 0.077 0.750 Cl
0.908 0.305 0.110 Cl
0.092 0.695 0.890 Cl
0.695 0.092 0.390 Cl
0.305 0.908 0.610 Cl
0.758 0.628 0.423 Cl
0.242 0.372 0.577 Cl
0.372 0.242 0.077 Cl
0.628 0.758 0.923 Cl
```

Computed properties:
The symmetry is No. 15. For the energy, the calculation gives -4.129 eV per atom. As for the spin magnetization: 0.0000 μB/atom.

=====

Li2DyTlCl6 | PBE | relaxed

```
Li2DyTlCl6
1.0
6.946 0.001 0.002
3.473 6.015 0.001
3.474 2.006 6.359
Li Dy Tl Cl
2 1 1 6
direct
0.529 0.529 0.413 Li
0.016 0.016 0.952 Li
0.321 0.321 0.038 Dy
0.799 0.799 0.603 Tl
0.585 0.266 0.238 Cl
0.266 0.911 0.238 Cl
0.911 0.585 0.238 Cl
0.327 0.735 0.765 Cl
0.735 0.173 0.766 Cl
0.174 0.327 0.765 Cl
```

Computed properties:
The symmetry is No. 146. For the energy, the calculation gives -4.012 eV per atom. As for the spin magnetization: 0.0000 μB/atom.

=====

LiDy2TlCl8 | PBE | relaxed

```
LiDy2TlCl8
1.0
-5.871 -3.054 -1.723
-1.423 -2.488 5.977
-4.147 6.909 1.888
Li Dy Tl Cl
1 2 1 8
direct
0.000 0.000 0.000 Li
0.500 0.500 0.759 Dy
0.500 0.500 0.241 Dy
0.000 0.000 0.500 Tl
0.189 0.768 0.211 Cl
0.655 0.701 0.000 Cl
0.811 0.232 0.211 Cl
0.811 0.232 0.789 Cl
0.345 0.299 0.000 Cl
0.189 0.768 0.789 Cl
0.641 0.692 0.500 Cl
0.359 0.308 0.500 Cl
```

Computed properties:
The symmetry is No. 10. For the energy, the calculation gives -4.312 eV per atom. As for the spin magnetization: 0.0000 μB/atom.

=====

LiDyTl2Cl6 | PBE | relaxed

```
LiDyTl2Cl6
1.0
7.274 0.000 -0.011
0.000 7.408 0.000
0.049 0.000 10.330
Li Dy Tl Cl
2 2 4 12
direct
0.500 0.000 0.000 Li
0.000 0.500 0.500 Li
0.500 0.000 0.500 Dy
0.000 0.500 0.000 Dy
0.011 0.950 0.252 Tl
0.511 0.550 0.752 Tl
0.989 0.050 0.748 Tl
0.489 0.450 0.248 Tl
0.289 0.712 0.034 Cl
0.789 0.788 0.534 Cl
0.711 0.288 0.966 Cl
0.211 0.212 0.466 Cl
0.289 0.712 0.467 Cl
0.789 0.788 0.967 Cl
0.711 0.288 0.533 Cl
0.211 0.212 0.033 Cl
0.934 0.511 0.252 Cl
0.434 0.989 0.752 Cl
0.066 0.489 0.748 Cl
0.566 0.011 0.248 Cl
```

Computed properties:
The symmetry is No. 14. For the energy, the calculation gives -3.935 eV per atom. As for the spin magnetization: 0.0000 μB/atom.

=====

LiDyZnCl6 | PBE | relaxed

```
LiDyZnCl6
1.0
-5.176 -0.155 -3.940
-0.326 -2.709 5.908
-3.756 10.323 4.527
Li Dy Zn Cl
2 2 2 12
direct
0.000 0.000 0.000 Li
0.000 0.000 0.500 Li
0.333 0.667 0.250 Dy
0.667 0.333 0.750 Dy
0.667 0.333 0.250 Zn
0.333 0.667 0.750 Zn
0.665 0.647 0.129 Cl
0.982 0.335 0.129 Cl
0.335 0.982 0.629 Cl
0.018 0.665 0.871 Cl
0.353 0.335 0.371 Cl
0.982 0.647 0.371 Cl
0.647 0.982 0.871 Cl
0.665 0.018 0.371 Cl
0.018 0.353 0.629 Cl
0.353 0.018 0.129 Cl
0.647 0.665 0.629 Cl
0.335 0.353 0.871 Cl
```

Computed properties:
The symmetry is No. 163. For the energy, the calculation gives -3.834 eV per atom. As for the spin magnetization: 0.0000 μB/atom.

=====

DyMgCl6 | PBE | relaxed

```
DyMgCl6
1.0
6.527 0.016 0.271
3.270 5.692 0.258
3.499 2.021 6.058
Dy Mg Cl
1 1 6
direct
0.500 0.500 0.500 Dy
0.000 0.000 0.000 Mg
0.068 0.411 0.756 Cl
0.722 0.100 0.792 Cl
0.621 0.214 0.276 Cl
0.278 0.900 0.208 Cl
0.932 0.589 0.244 Cl
0.379 0.786 0.724 Cl
```

Computed properties:
The symmetry is No. 2. For the energy, the calculation gives -3.819 eV per atom. As for the spin magnetization: 0.1386 μB/atom.